(1)
Here is a relaxed Ti8Bi2N crystal from Alexandria. Energies are from GGA-PBE.

crystal system: monoclinic
space-group type: C2/m, No. 12
formation energy without anion corrections: -0.229 eV/atom
calculated density: 7.132 g/cm³

```
11
Lattice="7.576 -2.314 0.000 7.576 2.314 0.000 -1.615 0.000 5.411" Properties=species:S:1:pos:R:3 pbc="T T T"
Ti -0.332 0.000 1.273
Ti 3.058 0.000 0.637
Ti 4.529 0.000 4.084
Ti 6.027 0.000 1.485
Ti 7.510 0.000 3.926
Ti 9.008 0.000 1.326
Ti 10.479 0.000 4.774
Ti 13.870 0.000 4.137
Bi 1.647 0.000 3.278
Bi 11.890 0.000 2.132
N 7.576 0.000 0.000
```

***

(2)
Here is a relaxed TiBiN2 crystal from Alexandria. Energies are from GGA-PBE.

crystal system: trigonal
space-group type: R-3m, No. 166
formation energy without anion corrections: -0.349 eV/atom
calculated density: 8.039 g/cm³

```
4
Lattice="1.593 0.920 6.692 -1.593 0.920 6.692 0.000 -1.840 6.692" Properties=species:S:1:pos:R:3 pbc="T T T"
Ti 0.000 0.000 0.000
Bi 0.000 0.000 10.038
N 0.000 0.000 7.708
N 0.000 0.000 12.368
```

***

(3)
Here is a relaxed TiTlBi2N crystal from Alexandria. Energies are from GGA-PBE.

crystal system: tetragonal
space-group type: P4/mmm, No. 123
formation energy without anion corrections: 1.476 eV/atom
calculated density: 8.001 g/cm³

```
5
Lattice="5.955 0.000 0.000 0.000 5.955 0.000 0.000 0.000 4.004" Properties=species:S:1:pos:R:3 pbc="T T T"
Ti 0.000 0.000 0.000
Tl 2.978 2.978 2.002
Bi 0.000 2.978 2.002
Bi 2.978 0.000 2.002
N 2.978 2.978 0.000
```

***

(4)
Here is a relaxed UTiBi2N crystal from Alexandria. Energies are from GGA-PBE.

crystal system: tetragonal
space-group type: P4/nmm, No. 129
formation energy without anion corrections: -0.572 eV/atom
calculated density: 10.900 g/cm³

```
10
Lattice="3.904 0.000 0.000 0.000 3.904 0.000 0.000 0.000 14.350" Properties=species:S:1:pos:R:3 pbc="T T T"
U 0.976 0.976 1.120
U 2.928 2.928 13.230
Ti 0.976 0.976 8.152
Ti 2.928 2.928 6.198
Bi 0.976 0.976 5.251
Bi 0.976 0.976 11.268
Bi 2.928 2.928 3.083
Bi 2.928 2.928 9.100
N 0.976 2.928 0.000
N 2.928 0.976 0.000
```

***

(5)
Here is a relaxed Y2TiBiN crystal from Alexandria. Energies are from GGA-PBE.

crystal system: tetragonal
space-group type: P4/mmm, No. 123
formation energy without anion corrections: -0.887 eV/atom
calculated density: 7.197 g/cm³

```
5
Lattice="5.015 0.000 0.000 0.000 5.015 0.000 0.000 0.000 4.117" Properties=species:S:1:pos:R:3 pbc="T T T"
Y 0.000 2.507 0.000
Y 2.507 0.000 0.000
Ti 0.000 0.000 2.058
Bi 2.507 2.507 2.058
N 0.000 0.000 0.000
```

***

(6)
Here is a relaxed Zr2TiBiN crystal from Alexandria. Energies are from GGA-PBE.

crystal system: tetragonal
space-group type: P4/mmm, No. 123
formation energy without anion corrections: -0.728 eV/atom
calculated density: 8.383 g/cm³

```
5
Lattice="4.714 0.000 0.000 0.000 4.714 0.000 0.000 0.000 4.042" Properties=species:S:1:pos:R:3 pbc="T T T"
Zr 0.000 2.357 0.000
Zr 2.357 0.000 0.000
Ti 0.000 0.000 2.021
Bi 2.357 2.357 2.021
N 0.000 0.000 0.000
```

***

(7)
Here is a relaxed TlBi2N crystal from Alexandria. Energies are from GGA-PBE.

crystal system: triclinic
space-group type: P1, No. 1
formation energy without anion corrections: 0.451 eV/atom
calculated density: 8.963 g/cm³

```
8
Lattice="6.389 0.000 0.000 2.623 6.186 0.000 2.682 2.453 5.966" Properties=species:S:1:pos:R:3 pbc="T T T"
Tl 0.000 0.000 0.000
Tl 5.841 4.521 5.521
Bi 2.137 1.122 2.726
Bi 5.171 4.060 1.623
Bi 5.221 1.496 3.523
Bi 8.661 4.642 3.204
N 2.964 4.053 1.138
N 4.474 5.159 3.499
```

***

(8)
Here is a relaxed TlBi2N2 crystal from Alexandria. Energies are from GGA-PBE.

crystal system: tetragonal
space-group type: I4/mmm, No. 139
formation energy without anion corrections: 0.920 eV/atom
calculated density: 8.394 g/cm³

```
5
Lattice="-2.409 2.409 5.543 2.409 -2.409 5.543 2.409 2.409 -5.543" Properties=species:S:1:pos:R:3 pbc="T T T"
Tl 0.000 0.000 0.000
Bi 2.409 0.000 2.772
Bi 0.000 2.409 2.772
N 0.000 0.000 3.059
N 0.000 0.000 8.028
```

***

> Among the records above, which one has the lowest formation energy without anion corrections?

Y2TiBiN